DFT (PBE) results for a geometry-optimized NaEr2O structure.

DFT total energy ... -4.99 eV/atom

```
NaEr2O
1.0
-1.8195 2.9058 -0.2900
-3.0998 0.2430 1.4733
2.3814 4.3574 8.3091
Na O Er
1 1 2
Direct
0.0000 0.0000 0.0000
0.5000 0.5000 0.5000
0.1198 0.1198 0.6405
0.8802 0.8802 0.3595
```

DFT (PBE) results for a geometry-optimized TcTe2IrI structure.

DFT total energy ... -4.07 eV/atom

```
TcTe2IrI
1.0
5.0610 0.0000 0.0000
0.0000 5.0610 0.0000
0.0000 0.0000 5.4719
I Ir Te Tc
1 1 2 1
Direct
0.0000 0.0000 0.5000
0.5000 0.5000 0.5000
0.0000 0.5000 0.0000
0.5000 0.0000 0.0000
0.0000 0.0000 0.0000
```

DFT (PBE) results for a geometry-optimized ThAg3I2Br6 structure.

DFT total energy ... -3.25 eV/atom

```
ThAg3I2Br6
1.0
6.7837 0.0000 0.1101
0.0000 8.3067 0.0000
-0.9589 -4.1533 7.2066
Th Ag I Br
1 3 2 6
Direct
0.5000 0.0000 0.0000
0.0000 0.5000 0.0000
0.5000 0.5000 0.5000
0.5000 0.0000 0.5000
0.2488 0.6698 0.3397
0.7512 0.3302 0.6603
0.7509 0.3318 0.1707
0.2491 0.6682 0.8293
0.7356 0.8462 0.6925
0.2644 0.1538 0.3075
0.2491 0.1611 0.8293
0.7509 0.8389 0.1707
```

DFT (PBE) results for a geometry-optimized Mg3Ga2Rh3 structure.

Energy relative to the elements ... -0.53 eV per atom
DFT total energy ... -4.64 eV/atom

```
Mg3Ga2Rh3
1.0
-1.2834 1.6947 -2.6294
-3.0348 -2.9135 -0.3966
-2.8759 5.1234 6.8799
Mg Ga Rh
3 2 3
Direct
0.6177 0.6177 0.2355
0.3823 0.3823 0.7645
0.5000 0.0000 0.0000
0.7516 0.2516 0.5033
0.2484 0.7484 0.4967
0.1414 0.1414 0.2828
0.0000 0.5000 0.0000
0.8586 0.8586 0.7172
```

DFT (PBE) results for a geometry-optimized Rb2CoN structure.

DFT total energy ... -2.74 eV/atom

```
Rb2CoN
1.0
-3.1288 -4.6066 -0.3290
0.7392 -4.1413 3.6635
-3.8791 -1.0198 3.8769
Co Rb N
1 2 1
Direct
0.5000 0.5000 0.5000
0.2500 0.2500 0.2500
0.7500 0.7500 0.7500
0.0000 0.0000 0.0000
```

DFT (PBE) results for a geometry-optimized SrCa4Ac5 structure.

Energy relative to the elements ... 0.14 eV per atom
DFT total energy ... -2.88 eV/atom

```
SrCa4Ac5
1.0
3.8576 0.0000 -0.8406
0.0438 9.5793 0.2011
0.6624 0.3551 12.3114
Sr Ca Ac
1 4 5
Direct
0.5000 0.0000 0.0000
0.3203 0.0007 0.6406
0.9083 0.7432 0.8167
0.6797 0.9993 0.3594
0.0917 0.2568 0.1833
0.7630 0.6619 0.5259
0.8802 0.3262 0.7603
0.1198 0.6738 0.2397
0.5000 0.5000 0.0000
0.2370 0.3381 0.4741
```

DFT (PBE) results for a geometry-optimized Rb2TaBe2 structure.

Energy relative to the elements ... 1.25 eV per atom
DFT total energy ... -3.00 eV/atom

```
Rb2TaBe2
1.0
-2.6343 1.0532 -1.0472
-1.1156 -2.8108 -0.0206
-6.1024 0.7094 11.6985
Be Rb Ta
2 2 1
Direct
0.7500 0.2500 0.5000
0.2500 0.7500 0.5000
0.3752 0.3752 0.2496
0.6248 0.6248 0.7504
0.0000 0.0000 0.0000
```

DFT (PBE) results for a geometry-optimized CaSn2Ge2Au7 structure.

Energy relative to the elements ... -0.18 eV per atom
DFT total energy ... -3.69 eV/atom

```
CaSn2Ge2Au7
1.0
-2.5946 3.2572 0.3643
-3.1723 -2.3473 -1.3788
-6.1752 -3.8604 14.4583
Ca Sn Ge Au
1 2 2 7
Direct
0.0000 0.0000 0.0000
0.7881 0.7881 0.4240
0.2119 0.2119 0.5760
0.6195 0.6195 0.7589
0.3805 0.3805 0.2411
0.5000 0.5000 0.0000
0.2976 0.2976 0.4009
0.7024 0.7024 0.5991
0.9293 0.4294 0.1427
0.4294 0.9293 0.1427
0.5706 0.0707 0.8573
0.0707 0.5706 0.8573
```